(1)
A relaxed DyErAg crystal, computed with GGA-PBE.

Values from the calculation:
As for the density of states at the Fermi level: 3.59 states/eV/cell. The calculation puts the energy above the most stable polymorph in this dataset at 26.4 meV/atom. Its volume is 26.541 A^3/atom.

The structure in POSCAR format:
```
DyErAg
1.0
-2.174 1.634 2.319
-2.542 -2.419 -0.679
4.554 -3.203 3.774
Dy Ag Er
1 1 1
direct
0.317 0.317 0.634
0.665 0.665 0.329
0.018 0.018 0.037
```

(2)
A relaxed Pt6Rh5W crystal, computed with GGA-PBE.

Values from the calculation:
As for the density of states at the Fermi level: 16.98 states/eV/cell. The total energy is -7.298 eV/atom. Its volume is 15.016 A^3/atom.

The structure in POSCAR format:
```
Pt6Rh5W
1.0
3.749 -0.005 -1.090
-2.525 6.652 -1.728
0.095 -0.306 7.315
Rh W Pt
5 1 6
direct
0.500 0.161 0.839
0.000 0.339 0.661
0.500 0.500 0.500
0.000 0.661 0.339
0.500 0.839 0.161
0.000 0.000 0.000
0.247 0.080 0.414
0.753 0.586 0.920
0.744 0.245 0.245
0.256 0.755 0.755
0.247 0.414 0.080
0.753 0.920 0.586
```

(3)
A relaxed NaAlTe crystal, computed with GGA-PBE.

Values from the calculation:
As for the density of states at the Fermi level: 0.84 states/eV/cell. The formation energy (no corrections) is -1.34 eV/f.u. The calculation puts the energy above the most stable polymorph in this dataset at 71.6 meV/atom. Its volume is 31.905 A^3/atom.

The structure in POSCAR format:
```
NaAlTe
1.0
8.870 0.000 0.002
0.000 4.933 0.000
-3.217 0.000 8.750
Na Al Te
4 4 4
direct
0.854 0.000 0.783
0.146 0.000 0.217
0.854 0.500 0.283
0.146 0.500 0.717
0.509 0.000 0.196
0.491 0.000 0.804
0.509 0.500 0.696
0.491 0.500 0.304
0.758 0.000 0.080
0.242 0.000 0.920
0.758 0.500 0.580
0.242 0.500 0.420
```

(4)
A relaxed Mg2Bi crystal, computed with GGA-PBE.

Values from the calculation:
As for the density of states at the Fermi level: 2.18 states/eV/cell. The total energy is -2.392 eV/atom. Its volume is 26.265 A^3/atom.

The structure in POSCAR format:
```
Mg2Bi
1.0
1.644 6.666 -0.031
-1.644 6.666 -0.031
0.000 2.215 7.178
Mg Bi
4 2
direct
0.689 0.689 0.873
0.976 0.976 0.815
0.024 0.024 0.185
0.311 0.311 0.127
0.367 0.367 0.532
0.633 0.633 0.468
```

(5)
A relaxed Y5OsPt crystal, computed with GGA-PBE.

Values from the calculation:
As for the density of states at the Fermi level: 12.92 states/eV/cell. The total energy is -7.362 eV/atom. Its volume is 27.330 A^3/atom.

The structure in POSCAR format:
```
Y5OsPt
1.0
8.634 1.191 2.664
0.120 8.715 2.664
0.928 1.050 5.660
Y Os Pt
10 2 2
direct
0.695 0.931 0.414
0.874 0.158 0.578
0.431 0.195 0.914
0.100 0.400 0.750
0.342 0.626 0.922
0.658 0.374 0.078
0.900 0.600 0.250
0.569 0.805 0.086
0.126 0.842 0.422
0.305 0.069 0.586
0.843 0.657 0.750
0.157 0.343 0.250
0.000 0.000 0.000
0.500 0.500 0.500
```

(6)
A relaxed Ac4GeSe2S crystal, computed with GGA-PBE.

Values from the calculation:
As for the density of states at the Fermi level: 3.35 states/eV/cell. The formation energy (no corrections) is -13.43 eV/f.u. Its volume is 31.814 A^3/atom.

The structure in POSCAR format:
```
Ac4GeSe2S
1.0
-2.778 1.674 3.109
-1.445 -7.221 2.598
5.063 -1.823 5.506
Ac Ge Se S
4 1 2 1
direct
0.000 0.738 0.753
0.000 0.262 0.247
0.500 0.739 0.253
0.500 0.261 0.747
0.000 0.500 0.500
0.000 0.000 0.000
0.500 0.000 0.500
0.500 0.500 0.000
```

(7)
A relaxed VCuCl crystal, computed with GGA-PBE.

Values from the calculation:
As for the density of states at the Fermi level: 4.97 states/eV/cell. The formation energy (no corrections) is -0.18 eV/f.u. Its volume is 16.900 A^3/atom.

The structure in POSCAR format:
```
VCuCl
1.0
-2.721 -0.706 0.749
2.117 -1.986 0.171
2.583 3.875 13.038
Cu Cl V
2 2 2
direct
0.563 0.126 0.000
0.521 0.041 0.500
0.562 0.125 0.264
0.562 0.125 0.736
0.229 0.458 0.852
0.229 0.458 0.148
```

(8)
A relaxed YCrIn2S6 crystal, computed with GGA-PBE.

Values from the calculation:
The formation energy (no corrections) is -9.01 eV/f.u. Its volume is 21.990 A^3/atom.

The structure in POSCAR format:
```
YCrIn2S6
1.0
-0.455 4.799 4.448
1.656 -1.146 6.242
5.954 2.835 2.387
Y Cr In S
1 1 2 6
direct
0.316 0.316 0.053
0.823 0.823 0.531
0.517 0.517 0.449
0.028 0.028 0.916
0.625 0.195 0.273
0.195 0.907 0.273
0.907 0.625 0.273
0.449 0.721 0.750
0.721 0.081 0.750
0.081 0.449 0.750
```